Record 1
## HoNiSbPd (PBE-GGA)

Data for crystalline HoNiSbPd at its relaxed geometry.

Geometry as CIF:
```
data_HoNiSbPd
_space_group_name_H-M_alt 'P 1'
_space_group_IT_number 1
_cell_length_a 6.6422
_cell_length_b 6.6422
_cell_length_c 6.6422
_cell_angle_alpha 90.00
_cell_angle_beta 90.00
_cell_angle_gamma 90.00
loop_
_space_group_symop_operation_xyz
'x,y,z'
loop_
_atom_site_label
_atom_site_type_symbol
_atom_site_fract_x
_atom_site_fract_y
_atom_site_fract_z
Ho1 Ho 0.0000 0.0000 0.0000
Ho2 Ho 0.0000 0.5000 0.5000
Ho3 Ho 0.5000 0.0000 0.5000
Ho4 Ho 0.5000 0.5000 0.0000
Ni1 Ni 0.2500 0.2500 0.2500
Ni2 Ni 0.2500 0.7500 0.7500
Ni3 Ni 0.7500 0.2500 0.7500
Ni4 Ni 0.7500 0.7500 0.2500
Sb1 Sb 0.0000 0.0000 0.5000
Sb2 Sb 0.0000 0.5000 0.0000
Sb3 Sb 0.5000 0.0000 0.0000
Sb4 Sb 0.5000 0.5000 0.5000
Pd1 Pd 0.2500 0.2500 0.7500
Pd2 Pd 0.2500 0.7500 0.2500
Pd3 Pd 0.7500 0.2500 0.2500
Pd4 Pd 0.7500 0.7500 0.7500
```

## Properties
- raw formation energy (meV per atom) = -648.1
- space-group type = F-43m
- Fermi-level density of states (states/eV per cell) = 8.17


Record 2
## HoScNiPd (PBE-GGA)

Data for crystalline HoScNiPd at its relaxed geometry.

Geometry as CIF:
```
data_HoScNiPd
_space_group_name_H-M_alt 'P 1'
_space_group_IT_number 1
_cell_length_a 6.7026
_cell_length_b 6.7026
_cell_length_c 6.7026
_cell_angle_alpha 90.00
_cell_angle_beta 90.00
_cell_angle_gamma 90.00
loop_
_space_group_symop_operation_xyz
'x,y,z'
loop_
_atom_site_label
_atom_site_type_symbol
_atom_site_fract_x
_atom_site_fract_y
_atom_site_fract_z
Ho1 Ho 0.0000 0.0000 0.0000
Ho2 Ho 0.0000 0.5000 0.5000
Ho3 Ho 0.5000 0.0000 0.5000
Ho4 Ho 0.5000 0.5000 0.0000
Sc1 Sc 0.0000 0.0000 0.5000
Sc2 Sc 0.0000 0.5000 0.0000
Sc3 Sc 0.5000 0.0000 0.0000
Sc4 Sc 0.5000 0.5000 0.5000
Ni1 Ni 0.2500 0.2500 0.2500
Ni2 Ni 0.2500 0.7500 0.7500
Ni3 Ni 0.7500 0.2500 0.7500
Ni4 Ni 0.7500 0.7500 0.2500
Pd1 Pd 0.2500 0.2500 0.7500
Pd2 Pd 0.2500 0.7500 0.2500
Pd3 Pd 0.7500 0.2500 0.2500
Pd4 Pd 0.7500 0.7500 0.7500
```

## Properties
- energy of formation (meV per atom) = -640
- space-group type = F-43m
- Fermi-level density of states (states/eV per cell) = 15.23


Record 3
## HoSi2NiPd (PBE-GGA)

Data for crystalline HoSi2NiPd at its relaxed geometry.

Geometry as CIF:
```
data_HoSi2NiPd
_space_group_name_H-M_alt 'P 1'
_space_group_IT_number 1
_cell_length_a 4.0493
_cell_length_b 4.0493
_cell_length_c 9.8079
_cell_angle_alpha 90.00
_cell_angle_beta 90.00
_cell_angle_gamma 90.00
loop_
_space_group_symop_operation_xyz
'x,y,z'
loop_
_atom_site_label
_atom_site_type_symbol
_atom_site_fract_x
_atom_site_fract_y
_atom_site_fract_z
Ho1 Ho 0.0000 0.0000 0.0000
Ho2 Ho 0.5000 0.5000 0.5000
Si1 Si 0.0000 0.0000 0.3801
Si2 Si 0.0000 0.0000 0.6199
Si3 Si 0.5000 0.5000 0.1199
Si4 Si 0.5000 0.5000 0.8801
Ni1 Ni 0.0000 0.5000 0.7500
Ni2 Ni 0.5000 0.0000 0.2500
Pd1 Pd 0.0000 0.5000 0.2500
Pd2 Pd 0.5000 0.0000 0.7500
```

## Properties
- raw formation energy (meV per atom) = -866.6
- space-group type = I-4m2
- Fermi-level density of states (states/eV per cell) = 7.10


Record 4
## Ho2Si4Ni3Pd (PBE-GGA)

Data for crystalline Ho2Si4Ni3Pd at its relaxed geometry.

Geometry as CIF:
```
data_Ho2Si4Ni3Pd
_space_group_name_H-M_alt 'P 1'
_space_group_IT_number 1
_cell_length_a 3.9864
_cell_length_b 3.9864
_cell_length_c 9.6494
_cell_angle_alpha 90.00
_cell_angle_beta 90.00
_cell_angle_gamma 90.00
loop_
_space_group_symop_operation_xyz
'x,y,z'
loop_
_atom_site_label
_atom_site_type_symbol
_atom_site_fract_x
_atom_site_fract_y
_atom_site_fract_z
Ho1 Ho 0.0000 0.5000 0.2422
Ho2 Ho 0.5000 0.0000 0.7578
Si1 Si 0.0000 0.0000 0.0000
Si2 Si 0.0000 0.5000 0.6412
Si3 Si 0.5000 0.0000 0.3588
Si4 Si 0.5000 0.5000 0.0000
Ni1 Ni 0.0000 0.5000 0.8781
Ni2 Ni 0.5000 0.0000 0.1219
Ni3 Ni 0.5000 0.5000 0.5000
Pd1 Pd 0.0000 0.0000 0.5000
```

## Properties
- raw formation energy (meV per atom) = -859.8
- space-group type = P-4m2
- Fermi-level density of states (states/eV per cell) = 6.34


Record 5
## SmHoNiPd (PBE-GGA)

Data for crystalline SmHoNiPd at its relaxed geometry.

Geometry as CIF:
```
data_SmHoNiPd
_space_group_name_H-M_alt 'P 1'
_space_group_IT_number 1
_cell_length_a 4.4308
_cell_length_b 3.8064
_cell_length_c 10.3654
_cell_angle_alpha 90.00
_cell_angle_beta 90.00
_cell_angle_gamma 90.00
loop_
_space_group_symop_operation_xyz
'x,y,z'
loop_
_atom_site_label
_atom_site_type_symbol
_atom_site_fract_x
_atom_site_fract_y
_atom_site_fract_z
Sm1 Sm 0.0000 0.0000 0.0000
Sm2 Sm 0.0000 0.5000 0.5000
Ho1 Ho 0.5000 0.0000 0.7216
Ho2 Ho 0.5000 0.5000 0.2216
Ni1 Ni 0.0000 0.0000 0.2769
Ni2 Ni 0.0000 0.5000 0.7769
Pd1 Pd 0.5000 0.0000 0.4356
Pd2 Pd 0.5000 0.5000 0.9356
```

## Properties
- energy of formation (meV per atom) = -633
- space-group type = Amm2
- Fermi-level density of states (states/eV per cell) = 5.16


Record 6
## HoTiNiPd (PBE-GGA)

Data for crystalline HoTiNiPd at its relaxed geometry.

Geometry as CIF:
```
data_HoTiNiPd
_space_group_name_H-M_alt 'P 1'
_space_group_IT_number 1
_cell_length_a 6.5488
_cell_length_b 6.5488
_cell_length_c 6.5488
_cell_angle_alpha 90.00
_cell_angle_beta 90.00
_cell_angle_gamma 90.00
loop_
_space_group_symop_operation_xyz
'x,y,z'
loop_
_atom_site_label
_atom_site_type_symbol
_atom_site_fract_x
_atom_site_fract_y
_atom_site_fract_z
Ho1 Ho 0.0000 0.0000 0.0000
Ho2 Ho 0.0000 0.5000 0.5000
Ho3 Ho 0.5000 0.0000 0.5000
Ho4 Ho 0.5000 0.5000 0.0000
Ti1 Ti 0.0000 0.0000 0.5000
Ti2 Ti 0.0000 0.5000 0.0000
Ti3 Ti 0.5000 0.0000 0.0000
Ti4 Ti 0.5000 0.5000 0.5000
Ni1 Ni 0.2500 0.2500 0.2500
Ni2 Ni 0.2500 0.7500 0.7500
Ni3 Ni 0.7500 0.2500 0.7500
Ni4 Ni 0.7500 0.7500 0.2500
Pd1 Pd 0.2500 0.2500 0.7500
Pd2 Pd 0.2500 0.7500 0.2500
Pd3 Pd 0.7500 0.2500 0.2500
Pd4 Pd 0.7500 0.7500 0.7500
```

## Properties
- energy of formation (meV per atom) = -404
- space-group type = F-43m
- Fermi-level density of states (states/eV per cell) = 11.55


Record 7
## HoZnNiPd (PBE-GGA)

Data for crystalline HoZnNiPd at its relaxed geometry.

Geometry as CIF:
```
data_HoZnNiPd
_space_group_name_H-M_alt 'P 1'
_space_group_IT_number 1
_cell_length_a 6.4622
_cell_length_b 6.4622
_cell_length_c 6.4622
_cell_angle_alpha 90.00
_cell_angle_beta 90.00
_cell_angle_gamma 90.00
loop_
_space_group_symop_operation_xyz
'x,y,z'
loop_
_atom_site_label
_atom_site_type_symbol
_atom_site_fract_x
_atom_site_fract_y
_atom_site_fract_z
Ho1 Ho 0.0000 0.0000 0.0000
Ho2 Ho 0.0000 0.5000 0.5000
Ho3 Ho 0.5000 0.0000 0.5000
Ho4 Ho 0.5000 0.5000 0.0000
Zn1 Zn 0.0000 0.0000 0.5000
Zn2 Zn 0.0000 0.5000 0.0000
Zn3 Zn 0.5000 0.0000 0.0000
Zn4 Zn 0.5000 0.5000 0.5000
Ni1 Ni 0.2500 0.2500 0.2500
Ni2 Ni 0.2500 0.7500 0.7500
Ni3 Ni 0.7500 0.2500 0.7500
Ni4 Ni 0.7500 0.7500 0.2500
Pd1 Pd 0.2500 0.2500 0.7500
Pd2 Pd 0.2500 0.7500 0.2500
Pd3 Pd 0.7500 0.2500 0.2500
Pd4 Pd 0.7500 0.7500 0.7500
```

## Properties
- energy of formation (meV per atom) = -510
- space-group type = F-43m
- Fermi-level density of states (states/eV per cell) = 8.53


Record 8
## HoZrNiPd (PBE-GGA)

Data for crystalline HoZrNiPd at its relaxed geometry.

Geometry as CIF:
```
data_HoZrNiPd
_space_group_name_H-M_alt 'P 1'
_space_group_IT_number 1
_cell_length_a 6.7225
_cell_length_b 6.7225
_cell_length_c 6.7225
_cell_angle_alpha 90.00
_cell_angle_beta 90.00
_cell_angle_gamma 90.00
loop_
_space_group_symop_operation_xyz
'x,y,z'
loop_
_atom_site_label
_atom_site_type_symbol
_atom_site_fract_x
_atom_site_fract_y
_atom_site_fract_z
Ho1 Ho 0.0000 0.0000 0.0000
Ho2 Ho 0.0000 0.5000 0.5000
Ho3 Ho 0.5000 0.0000 0.5000
Ho4 Ho 0.5000 0.5000 0.0000
Zr1 Zr 0.0000 0.0000 0.5000
Zr2 Zr 0.0000 0.5000 0.0000
Zr3 Zr 0.5000 0.0000 0.0000
Zr4 Zr 0.5000 0.5000 0.5000
Ni1 Ni 0.2500 0.2500 0.7500
Ni2 Ni 0.2500 0.7500 0.2500
Ni3 Ni 0.7500 0.2500 0.2500
Ni4 Ni 0.7500 0.7500 0.7500
Pd1 Pd 0.2500 0.2500 0.2500
Pd2 Pd 0.2500 0.7500 0.7500
Pd3 Pd 0.7500 0.2500 0.7500
Pd4 Pd 0.7500 0.7500 0.2500
```

## Properties
- energy of formation (meV per atom) = -503
- space-group type = F-43m
- Fermi-level density of states (states/eV per cell) = 11.85


Record 9
## Pm2HoNi3 (PBE-GGA)

Data for crystalline Pm2HoNi3 at its relaxed geometry.

Geometry as CIF:
```
data_Pm2HoNi3
_space_group_name_H-M_alt 'P 1'
_space_group_IT_number 1
_cell_length_a 3.4287
_cell_length_b 3.4287
_cell_length_c 10.3048
_cell_angle_alpha 90.00
_cell_angle_beta 90.00
_cell_angle_gamma 90.00
loop_
_space_group_symop_operation_xyz
'x,y,z'
loop_
_atom_site_label
_atom_site_type_symbol
_atom_site_fract_x
_atom_site_fract_y
_atom_site_fract_z
Pm1 Pm 0.0000 0.0000 0.1701
Pm2 Pm 0.0000 0.0000 0.8299
Ho1 Ho 0.0000 0.0000 0.5000
Ni1 Ni 0.5000 0.5000 0.0000
Ni2 Ni 0.5000 0.5000 0.3445
Ni3 Ni 0.5000 0.5000 0.6555
```

## Properties
- energy of formation (meV per atom) = -307
- space-group type = P4/mmm
- Fermi-level density of states (states/eV per cell) = 4.62


Record 10
## PmHo2Ni (PBE-GGA)

Data for crystalline PmHo2Ni at its relaxed geometry.

Geometry as CIF:
```
data_PmHo2Ni
_space_group_name_H-M_alt 'P 1'
_space_group_IT_number 1
_cell_length_a 3.8186
_cell_length_b 3.8186
_cell_length_c 26.6852
_cell_angle_alpha 90.00
_cell_angle_beta 90.00
_cell_angle_gamma 120.00
loop_
_space_group_symop_operation_xyz
'x,y,z'
loop_
_atom_site_label
_atom_site_type_symbol
_atom_site_fract_x
_atom_site_fract_y
_atom_site_fract_z
Pm1 Pm 0.0000 0.0000 0.0000
Pm2 Pm 0.3333 0.6667 0.6667
Pm3 Pm 0.6667 0.3333 0.3333
Ho1 Ho 0.0000 0.0000 0.2267
Ho2 Ho 0.0000 0.0000 0.4446
Ho3 Ho 0.3333 0.6667 0.1113
Ho4 Ho 0.3333 0.6667 0.8933
Ho5 Ho 0.6667 0.3333 0.5600
Ho6 Ho 0.6667 0.3333 0.7779
Ni1 Ni 0.0000 0.0000 0.8364
Ni2 Ni 0.3333 0.6667 0.5030
Ni3 Ni 0.6667 0.3333 0.1697
```

## Properties
- energy of formation (meV per atom) = -121
- polymorph energy (0 for the lowest one) (kJ/mol of formula units) = 43
- space-group type = R3m
- Fermi-level density of states (states/eV per cell) = 13.42